1.
# KLi2Ni, optimized geometry, DFT PBE-GGA
# Calculated volume (Å³ per cell): 89.91
# Excess energy over the best structure of this formula in the dataset (meV per atom): 33
# DOS(E_F) (states/eV/f.u.): 2.00
# Space group: C2/m (12)
# M_tot (μB per atom): 0.000
# DFT formation energy (eV/atom): 0.351
# Crystal system: monoclinic
# Raw total energy (eV/atom): -2.326
data_KLi2Ni
_chemical_formula_sum 'K1 Li2 Ni1'
_cell_length_a 4.566
_cell_length_b 4.566
_cell_length_c 6.839
_cell_angle_alpha 83.34
_cell_angle_beta 83.34
_cell_angle_gamma 39.45
_symmetry_space_group_name_H-M 'P 1'
_symmetry_Int_Tables_number 1
loop_
_symmetry_equiv_pos_as_xyz
'x,y,z'
loop_
_atom_site_label
_atom_site_type_symbol
_atom_site_fract_x
_atom_site_fract_y
_atom_site_fract_z
_atom_site_occupancy
Ni1 Ni 0.250 0.250 0.250 1
Li1 Li 0.972 0.972 0.105 1
Li2 Li 0.528 0.528 0.395 1
K1 K 0.750 0.750 0.750 1


2.
# K2LiNi, optimized geometry, DFT PBE-GGA
# Calculated volume (Å³ per cell): 133.22
# Excess energy over the best structure of this formula in the dataset (meV per atom): 17
# DOS(E_F) (states/eV/f.u.): 3.75
# Space group: C2/m (12)
# M_tot (μB per atom): 0.043
# DFT formation energy (eV/atom): 0.410
# Crystal system: monoclinic
# Raw total energy (eV/atom): -2.062
data_K2LiNi
_chemical_formula_sum 'K2 Li1 Ni1'
_cell_length_a 10.093
_cell_length_b 10.093
_cell_length_c 3.893
_cell_angle_alpha 78.82
_cell_angle_beta 78.82
_cell_angle_gamma 20.04
_symmetry_space_group_name_H-M 'P 1'
_symmetry_Int_Tables_number 1
loop_
_symmetry_equiv_pos_as_xyz
'x,y,z'
loop_
_atom_site_label
_atom_site_type_symbol
_atom_site_fract_x
_atom_site_fract_y
_atom_site_fract_z
_atom_site_occupancy
Ni1 Ni 0.250 0.250 0.250 1
K1 K 0.895 0.895 0.105 1
K2 K 0.605 0.605 0.395 1
Li1 Li 0.750 0.750 0.750 1


3.
# KLi2Ni, optimized geometry, DFT PBE-GGA
# Calculated volume (Å³ per cell): 94.94
# Excess energy over the best structure of this formula in the dataset (meV per atom): 42
# DOS(E_F) (states/eV/f.u.): 2.55
# Space group: Immm (71)
# M_tot (μB per atom): 0.000
# DFT formation energy (eV/atom): 0.360
# Crystal system: orthorhombic
# Raw total energy (eV/atom): -2.317
data_KLi2Ni
_chemical_formula_sum 'K1 Li2 Ni1'
_cell_length_a 6.416
_cell_length_b 6.416
_cell_length_c 6.416
_cell_angle_alpha 153.06
_cell_angle_beta 126.97
_cell_angle_gamma 60.47
_symmetry_space_group_name_H-M 'P 1'
_symmetry_Int_Tables_number 1
loop_
_symmetry_equiv_pos_as_xyz
'x,y,z'
loop_
_atom_site_label
_atom_site_type_symbol
_atom_site_fract_x
_atom_site_fract_y
_atom_site_fract_z
_atom_site_occupancy
Ni1 Ni 0.250 0.750 0.500 1
Li1 Li 0.066 0.066 0.000 1
Li2 Li 0.434 0.434 0.000 1
K1 K 0.750 0.250 0.500 1


4.
# KLi2Ni, optimized geometry, DFT PBE-GGA
# Calculated volume (Å³ per cell): 90.60
# Excess energy over the best structure of this formula in the dataset (meV per atom): 208
# DOS(E_F) (states/eV/f.u.): 2.57
# Space group: F-43m (216)
# M_tot (μB per atom): 0.000
# DFT formation energy (eV/atom): 0.525
# Crystal system: cubic
# Raw total energy (eV/atom): -2.151
data_KLi2Ni
_chemical_formula_sum 'K1 Li2 Ni1'
_cell_length_a 5.041
_cell_length_b 5.041
_cell_length_c 5.041
_cell_angle_alpha 60.00
_cell_angle_beta 60.00
_cell_angle_gamma 60.00
_symmetry_space_group_name_H-M 'P 1'
_symmetry_Int_Tables_number 1
loop_
_symmetry_equiv_pos_as_xyz
'x,y,z'
loop_
_atom_site_label
_atom_site_type_symbol
_atom_site_fract_x
_atom_site_fract_y
_atom_site_fract_z
_atom_site_occupancy
Li1 Li 0.000 0.000 0.000 1
Li2 Li 0.250 0.250 0.250 1
K1 K 0.500 0.500 0.500 1
Ni1 Ni 0.750 0.750 0.750 1


5.
# K2LiNi, optimized geometry, DFT PBE-GGA
# Calculated volume (Å³ per cell): 128.43
# Excess energy over the best structure of this formula in the dataset (meV per atom): 234
# DOS(E_F) (states/eV/f.u.): 6.58
# Space group: Fm-3m (225)
# M_tot (μB per atom): 0.000
# DFT formation energy (eV/atom): 0.627
# Crystal system: cubic
# Raw total energy (eV/atom): -1.845
data_K2LiNi
_chemical_formula_sum 'K2 Li1 Ni1'
_cell_length_a 5.663
_cell_length_b 5.663
_cell_length_c 5.663
_cell_angle_alpha 60.00
_cell_angle_beta 60.00
_cell_angle_gamma 60.00
_symmetry_space_group_name_H-M 'P 1'
_symmetry_Int_Tables_number 1
loop_
_symmetry_equiv_pos_as_xyz
'x,y,z'
loop_
_atom_site_label
_atom_site_type_symbol
_atom_site_fract_x
_atom_site_fract_y
_atom_site_fract_z
_atom_site_occupancy
K1 K 0.750 0.750 0.750 1
K2 K 0.250 0.250 0.250 1
Li1 Li 0.000 0.000 0.000 1
Ni1 Ni 0.500 0.500 0.500 1


6.
# K2LiNi, optimized geometry, DFT PBE-GGA
# Calculated volume (Å³ per cell): 140.49
# Excess energy over the best structure of this formula in the dataset (meV per atom): 196
# DOS(E_F) (states/eV/f.u.): 7.27
# Space group: P4/mmm (123)
# M_tot (μB per atom): 0.134
# DFT formation energy (eV/atom): 0.588
# Crystal system: tetragonal
# Raw total energy (eV/atom): -1.884
data_K2LiNi
_chemical_formula_sum 'K2 Li1 Ni1'
_cell_length_a 3.792
_cell_length_b 3.792
_cell_length_c 9.771
_cell_angle_alpha 90.00
_cell_angle_beta 90.00
_cell_angle_gamma 90.04
_symmetry_space_group_name_H-M 'P 1'
_symmetry_Int_Tables_number 1
loop_
_symmetry_equiv_pos_as_xyz
'x,y,z'
loop_
_atom_site_label
_atom_site_type_symbol
_atom_site_fract_x
_atom_site_fract_y
_atom_site_fract_z
_atom_site_occupancy
Li1 Li 0.500 0.500 0.250 1
K1 K 0.000 0.000 0.948 1
K2 K 0.000 0.000 0.552 1
Ni1 Ni 0.500 0.500 0.750 1


- Among the records above, which one has the lowest DOS(E_F)?
  number 1